Arrangement a

# Y2ZnPb2

A geometry-optimized Y2ZnPb2 structure (GGA-PBE, Alexandria via LeMat-Bulk).

## Properties
- Spin magnetization: 0.00 μB per formula unit

Geometry as extended XYZ:
```
10
Lattice="-0.877 6.694 3.536 -6.887 0.772 -3.170 -1.911 -2.166 3.625" Properties=species:S:1:pos:R:3 pbc="T T T"
Zn 0.000 0.000 0.000
Y -2.423 1.251 2.433
Zn -3.882 3.733 0.183
Y -3.947 4.719 3.701
Pb -2.602 1.216 -0.646
Y -5.729 0.582 0.290
Pb -6.239 3.074 -1.453
Y -7.253 4.050 1.558
Pb -1.526 4.393 1.819
Pb -5.163 6.251 1.012
```


Arrangement b

# Y2ZnPb2

A geometry-optimized Y2ZnPb2 structure (GGA-PBE, Alexandria via LeMat-Bulk).

## Properties
- Spin magnetization: 0.00 μB per formula unit

Geometry as extended XYZ:
```
10
Lattice="-4.787 4.325 4.530 -2.002 -6.459 4.051 3.454 0.762 2.922" Properties=species:S:1:pos:R:3 pbc="T T T"
Pb -3.065 -2.377 7.846
Pb -0.242 -3.153 4.711
Pb -3.092 1.781 6.793
Y -3.273 -3.944 4.897
Y -3.516 1.810 3.684
Pb -0.269 1.005 3.658
Zn 0.000 0.000 0.000
Y -1.461 -1.446 2.105
Zn -3.394 -1.067 4.291
Y -5.327 -0.688 6.477
```


Most stable: arrangement a


Arrangement a

# YZr3Pb

A geometry-optimized YZr3Pb structure (GGA-PBE, Alexandria via LeMat-Bulk).

## Properties
- Spin magnetization: 1.26 μB per formula unit

Geometry as extended XYZ:
```
5
Lattice="-2.365 1.509 4.425 -4.649 -1.281 -2.048 0.492 -4.851 1.917" Properties=species:S:1:pos:R:3 pbc="T T T"
Zr -2.324 -0.640 -1.024
Y 0.000 0.000 0.000
Zr -1.182 0.754 2.212
Pb -3.261 -2.311 2.147
Zr 0.246 -2.425 0.958
```


Arrangement b

# YZr3Pb

A geometry-optimized YZr3Pb structure (GGA-PBE, Alexandria via LeMat-Bulk).

## Properties
- Spin magnetization: 0.00 μB per formula unit

Geometry as extended XYZ:
```
5
Lattice="-4.882 -1.522 1.838 -1.357 -1.672 -4.989 1.963 -4.941 1.122" Properties=species:S:1:pos:R:3 pbc="T T T"
Y -2.138 -4.068 -1.014
Zr 0.982 -2.471 0.561
Zr -0.679 -0.836 -2.495
Zr -2.441 -0.761 0.919
Pb 0.000 0.000 0.000
```


Most stable: arrangement b